(1)
A relaxed BeSbTe2Os crystal, computed with GGA-PBE.

Unit cell a=4.812 b=4.812 c=4.610 alpha=90.00 beta=90.00 gamma=90.00
Element x y z (fractional)
Be  0.000  0.000  0.000
Sb  0.000  0.000  0.500
Te  0.000  0.500  0.000
Te  0.500  0.000  0.000
Os  0.500  0.500  0.500

Summary:
DFT total energy	-3.875	eV per atom
theoretical density	8.96	g cm⁻³
SG	P4/mmm
formation energy from raw total energies	1.198	eV per atom
DOS at the Fermi energy	5.6	states/eV/f.u.

=====

(2)
A relaxed Li12NpN6 crystal, computed with GGA-PBE.

Unit cell a=6.738 b=6.738 c=6.738 alpha=112.66 beta=112.66 gamma=112.66
Element x y z (fractional)
Li  0.077  0.701  0.191
Li  0.191  0.077  0.701
Li  0.212  0.425  0.533
Li  0.299  0.809  0.923
Li  0.425  0.533  0.212
Li  0.467  0.788  0.575
Li  0.533  0.212  0.425
Li  0.575  0.467  0.788
Li  0.701  0.191  0.077
Li  0.788  0.575  0.467
Li  0.809  0.923  0.299
Li  0.923  0.299  0.809
Np  0.000  0.000  0.000
N  0.089  0.406  0.197
N  0.197  0.089  0.406
N  0.406  0.197  0.089
N  0.594  0.803  0.911
N  0.803  0.911  0.594
N  0.911  0.594  0.803

Summary:
DFT total energy	-5.116	eV per atom
theoretical density	3.31	g cm⁻³
SG	R-3
formation energy from raw total energies	-0.597	eV per atom

=====

(3)
A relaxed TeCI2Br crystal, computed with GGA-PBE.

Unit cell a=5.945 b=5.945 c=5.629 alpha=90.00 beta=90.00 gamma=90.00
Element x y z (fractional)
Te  0.000  0.000  0.000
C  0.500  0.500  0.000
I  0.000  0.500  0.500
I  0.500  0.000  0.500
Br  0.000  0.000  0.500

Summary:
DFT total energy	-1.481	eV per atom
theoretical density	3.95	g cm⁻³
SG	P4/mmm
formation energy from raw total energies	1.947	eV per atom
DOS at the Fermi energy	7.6	states/eV/f.u.

=====

(4)
A relaxed Zr2BiPd crystal, computed with GGA-PBE.

Unit cell a=6.293 b=6.293 c=6.293 alpha=103.49 beta=103.49 gamma=122.24
Element x y z (fractional)
Zr  0.095  0.625  0.970
Zr  0.375  0.345  0.470
Zr  0.655  0.125  0.030
Zr  0.875  0.905  0.530
Bi  0.250  0.750  0.500
Bi  0.500  0.500  0.000
Pd  0.000  0.000  0.000
Pd  0.750  0.250  0.500

Summary:
ΔH_f (0 K)	-0.21	eV/atom
DFT total energy	-6.751	eV per atom
theoretical density	8.96	g cm⁻³
SG	I-42d
DOS at the Fermi energy	2.7	states/eV/f.u.

=====

(5)
A relaxed VNi5Pd2 crystal, computed with GGA-PBE.

Unit cell a=5.184 b=10.347 c=3.658 alpha=90.00 beta=90.00 gamma=90.00
Element x y z (fractional)
V  0.000  0.000  0.000
V  0.500  0.500  0.000
Ni  0.000  0.500  0.000
Ni  0.003  0.244  0.000
Ni  0.247  0.123  0.500
Ni  0.253  0.623  0.500
Ni  0.497  0.744  0.000
Ni  0.500  0.000  0.000
Ni  0.503  0.256  0.000
Ni  0.747  0.377  0.500
Ni  0.753  0.877  0.500
Ni  0.997  0.756  0.000
Pd  0.246  0.375  0.500
Pd  0.254  0.875  0.500
Pd  0.746  0.125  0.500
Pd  0.754  0.625  0.500

Summary:
ΔH_f (0 K)	-0.08	eV/atom
DFT total energy	-6.136	eV per atom
theoretical density	9.43	g cm⁻³
SG	Pbam
DOS at the Fermi energy	11.2	states/eV/f.u.

=====

(6)
A relaxed Cs2CdHI crystal, computed with GGA-PBE.

Unit cell a=6.119 b=6.119 c=5.377 alpha=90.00 beta=90.00 gamma=90.00
Element x y z (fractional)
Cs  0.000  0.500  0.000
Cs  0.500  0.000  0.000
Cd  0.000  0.000  0.500
H  0.000  0.000  0.000
I  0.500  0.500  0.500

Summary:
DFT total energy	-2.022	eV per atom
theoretical density	4.18	g cm⁻³
SG	P4/mmm
DOS at the Fermi energy	0.6	states/eV/f.u.

=====

(7)
A relaxed CrSi4Tc crystal, computed with GGA-PBE.

Unit cell a=4.426 b=4.426 c=6.277 alpha=110.68 beta=110.68 gamma=41.47
Element x y z (fractional)
Cr  0.000  0.000  0.000
Si  0.334  0.334  0.159
Si  0.336  0.336  0.677
Si  0.664  0.664  0.323
Si  0.666  0.666  0.841
Tc  0.000  0.000  0.500

Summary:
DFT total energy	-7.342	eV per atom
theoretical density	5.78	g cm⁻³
SG	C2/m
formation energy from raw total energies	-0.395	eV per atom
DOS at the Fermi energy	2.7	states/eV/f.u.

=====

(8)
A relaxed TmSi2Ir4 crystal, computed with GGA-PBE.

Unit cell a=16.570 b=3.987 c=6.525 alpha=90.00 beta=90.00 gamma=90.00
Element x y z (fractional)
Tm  0.137  0.250  0.023
Tm  0.363  0.750  0.523
Tm  0.637  0.250  0.477
Tm  0.863  0.750  0.977
Si  0.043  0.750  0.258
Si  0.227  0.250  0.531
Si  0.273  0.750  0.031
Si  0.457  0.250  0.758
Si  0.543  0.750  0.242
Si  0.727  0.250  0.969
Si  0.773  0.750  0.469
Si  0.957  0.250  0.742
Ir  0.029  0.750  0.841
Ir  0.083  0.250  0.534
Ir  0.186  0.750  0.324
Ir  0.190  0.750  0.735
Ir  0.310  0.250  0.235
Ir  0.314  0.250  0.824
Ir  0.417  0.750  0.034
Ir  0.471  0.250  0.341
Ir  0.529  0.750  0.659
Ir  0.583  0.250  0.966
Ir  0.686  0.750  0.176
Ir  0.690  0.750  0.765
Ir  0.810  0.250  0.265
Ir  0.814  0.250  0.676
Ir  0.917  0.750  0.466
Ir  0.971  0.250  0.159

Summary:
DFT total energy	-8.004	eV per atom
theoretical density	15.32	g cm⁻³
SG	Pnma
formation energy from raw total energies	-0.752	eV per atom
DOS at the Fermi energy	2.8	states/eV/f.u.

=====

(9)
A relaxed InRuPb crystal, computed with GGA-PBE.

Unit cell a=4.677 b=4.677 c=3.474 alpha=90.00 beta=90.00 gamma=120.00
Element x y z (fractional)
In  0.000  0.000  0.000
Ru  0.667  0.333  0.003
Pb  0.333  0.667  0.501

Summary:
ΔH_f (0 K)	0.48	eV/atom
DFT total energy	-4.762	eV per atom
theoretical density	10.68	g cm⁻³
SG	P3m1
DOS at the Fermi energy	2.9	states/eV/f.u.

=====

(10)
A relaxed V2MoW2 crystal, computed with GGA-PBE.

Unit cell a=5.199 b=5.199 c=10.090 alpha=90.00 beta=90.00 gamma=145.22
Element x y z (fractional)
V  0.070  0.930  0.500
V  0.265  0.735  0.129
V  0.735  0.265  0.629
V  0.930  0.070  0.000
Mo  0.368  0.632  0.439
Mo  0.632  0.368  0.939
W  0.026  0.974  0.734
W  0.321  0.679  0.824
W  0.679  0.321  0.324
W  0.974  0.026  0.234

Summary:
ΔH_f (0 K)	0.29	eV/atom
DFT total energy	-10.710	eV per atom
theoretical density	12.07	g cm⁻³
SG	Cmc2_1
DOS at the Fermi energy	3.0	states/eV/f.u.

=====

(11)
A relaxed Nd2Ga3Cu5 crystal, computed with GGA-PBE.

Unit cell a=8.327 b=8.327 c=5.936 alpha=110.71 beta=110.71 gamma=89.96
Element x y z (fractional)
Nd  0.111  0.363  0.237
Nd  0.363  0.111  0.737
Nd  0.637  0.889  0.263
Nd  0.889  0.637  0.763
Ga  0.013  0.748  0.380
Ga  0.252  0.987  0.120
Ga  0.500  0.500  0.250
Ga  0.500  0.500  0.750
Ga  0.748  0.013  0.880
Ga  0.987  0.252  0.620
Cu  0.000  0.000  0.250
Cu  0.000  0.000  0.750
Cu  0.240  0.475  0.858
Cu  0.266  0.734  0.250
Cu  0.266  0.734  0.750
Cu  0.475  0.240  0.358
Cu  0.525  0.760  0.642
Cu  0.734  0.266  0.250
Cu  0.734  0.266  0.750
Cu  0.760  0.525  0.142

Summary:
ΔH_f (0 K)	-0.35	eV/atom
DFT total energy	-4.255	eV per atom
theoretical density	7.60	g cm⁻³
SG	C2/c
DOS at the Fermi energy	6.9	states/eV/f.u.

=====

(12)
A relaxed ZnGa2Rh crystal, computed with GGA-PBE.

Unit cell a=6.325 b=6.325 c=6.325 alpha=39.98 beta=39.98 gamma=39.98
Element x y z (fractional)
Zn  0.000  0.000  0.000
Ga  0.143  0.143  0.143
Ga  0.857  0.857  0.857
Rh  0.500  0.500  0.500

Summary:
ΔH_f (0 K)	0.13	eV/atom
DFT total energy	-3.539	eV per atom
theoretical density	5.43	g cm⁻³
SG	R-3m
DOS at the Fermi energy	1.7	states/eV/f.u.